Record 1
The following is a PBE calculation of an optimized crystal structure of K3MgFe, from the Alexandria database.

```
K3MgFe
1.0
6.409 0.000 0.000
0.000 6.409 0.000
0.000 0.000 6.409
Mg Fe K
1 1 3
direct
0.500 0.500 0.500
0.000 0.000 0.000
0.500 0.000 0.000
0.000 0.500 0.000
0.000 0.000 0.500
```

Properties
- V: 263 Å³ per cell
- Symmetry: No. 221
- ΔH_f (0 K): 887 meV per atom
- Polymorph energy (0 for the lowest one): 0 meV/atom



Record 2
The following is a PBE calculation of an optimized crystal structure of AcPr3O, from the Alexandria database.

```
AcPr3O
1.0
5.234 0.000 0.000
0.000 5.234 0.000
0.000 0.000 5.234
O Pr Ac
1 3 1
direct
0.000 0.000 0.000
0.000 0.000 0.500
0.000 0.500 0.000
0.500 0.000 0.000
0.500 0.500 0.500
```

Properties
- Energy relative to the elements, uncorrected: -1.0110 eV/atom
- V: 143 Å³ per cell
- Symmetry: No. 221



Record 3
The following is a PBE calculation of an optimized crystal structure of Ac8Ga2Si, from the Alexandria database.

```
Ac8Ga2Si
1.0
-2.096 3.249 3.829
-5.603 1.657 -4.473
-2.601 -9.852 3.069
Ac Ga Si
8 2 1
direct
0.343 0.022 0.685
0.027 0.781 0.054
0.657 0.978 0.315
0.212 0.323 0.423
0.788 0.677 0.577
0.590 0.446 0.179
0.973 0.219 0.946
0.410 0.554 0.821
0.812 0.247 0.625
0.188 0.753 0.375
0.500 0.000 0.000
```

Properties
- Energy relative to the elements, uncorrected: -0.2157 eV/atom
- V: 403 Å³ per cell
- Symmetry: No. 12